DFT (PBE) results for Zr2PaTi after structural relaxation.

CIF file:
```
data_Zr2PaTi
_cell_length_a 3.1356
_cell_length_b 3.1356
_cell_length_c 31.3801
_cell_angle_alpha 90.00
_cell_angle_beta 90.00
_cell_angle_gamma 120.00
_space_group_name_H-M_alt 'R 3 m'
_space_group_IT_number 160
_space_group_name_Hall 'R 3 -2"'
loop_
_atom_site_label
_atom_site_type_symbol
_atom_site_fract_x
_atom_site_fract_y
_atom_site_fract_z
Zr1 Zr 0.0000 0.0000 0.0000
Zr2 Zr 0.0000 0.0000 0.1769
Pa1 Pa 0.0000 0.0000 0.7556
Ti1 Ti 0.0000 0.0000 0.5883
```

Electronic total energy in eV per atom: -8.53
E above lowest polymorph in kcal/mol of atoms: 0.07
Total magnetization in μB per formula unit: 0.0
ΔH_f (0 K) in eV per atom: 0.090
DOS at the Fermi energy in states/eV per cell: 19.82